# Pm5Hg3 | Alexandria | GGA-PBE | relaxed
data_Pm5Hg3
_cell_length_a 3.788
_cell_length_b 3.788
_cell_length_c 16.462
_cell_angle_alpha 90.00
_cell_angle_beta 90.00
_cell_angle_gamma 90.00
_space_group_name_H-M_alt 'P 1'
_space_group_IT_number 1
loop_
_space_group_symop_operation_xyz
'x,y,z'
loop_
_atom_site_label
_atom_site_type_symbol
_atom_site_fract_x
_atom_site_fract_y
_atom_site_fract_z
_atom_site_occupancy
Pm1 Pm 0.000 0.000 0.000 1
Pm2 Pm 0.000 0.000 0.232 1
Pm3 Pm 0.000 0.000 0.768 1
Pm4 Pm 0.500 0.500 0.383 1
Pm5 Pm 0.500 0.500 0.617 1
Hg1 Hg 0.000 0.000 0.500 1
Hg2 Hg 0.500 0.500 0.120 1
Hg3 Hg 0.500 0.500 0.880 1
# DFT total energy = -3.43 eV/atom
# DOS at the Fermi energy = 9.8 states/eV/f.u.
# formation energy = -344.3 meV per atom